Entry 1:
This record from Alexandria describes an optimized crystal structure of Tl16Hg7Bi6. The functional is GGA-PBE.

a b c (Å): 10.947 10.947 10.947
angles (deg): 60.00 60.00 60.00
Fractional positions:
Tl 0.031 0.656 0.656
Tl 0.119 0.119 0.119
Tl 0.119 0.119 0.643
Tl 0.119 0.643 0.119
Tl 0.344 0.344 0.344
Tl 0.344 0.344 0.969
Tl 0.344 0.969 0.344
Tl 0.357 0.881 0.881
Tl 0.643 0.119 0.119
Tl 0.656 0.031 0.656
Tl 0.656 0.656 0.031
Tl 0.656 0.656 0.656
Tl 0.881 0.357 0.881
Tl 0.881 0.881 0.357
Tl 0.881 0.881 0.881
Tl 0.969 0.344 0.344
Hg 0.000 0.000 0.000
Hg 0.000 0.000 0.500
Hg 0.000 0.500 0.000
Hg 0.000 0.500 0.500
Hg 0.500 0.000 0.000
Hg 0.500 0.000 0.500
Hg 0.500 0.500 0.000
Bi 0.342 0.342 0.658
Bi 0.342 0.658 0.342
Bi 0.342 0.658 0.658
Bi 0.658 0.342 0.342
Bi 0.658 0.342 0.658
Bi 0.658 0.658 0.342

## Properties
- spin magnetization (μB/f.u.) = 0.000
- ΔE_f (eV/atom) = 0.060


Entry 2:
This record from Alexandria describes an optimized crystal structure of LiSm2TeO6. The functional is GGA-PBE.

a b c (Å): 5.851 5.851 5.851
angles (deg): 58.84 58.84 58.84
Fractional positions:
Li 0.000 0.000 0.000
Sm 0.268 0.268 0.268
Sm 0.772 0.772 0.772
Te 0.488 0.488 0.488
O 0.139 0.690 0.362
O 0.213 0.619 0.842
O 0.362 0.139 0.690
O 0.619 0.842 0.213
O 0.690 0.362 0.139
O 0.842 0.213 0.619

## Properties
- ΔE_f (raw) (kJ/mol of atoms) = -224.47
- spin magnetization (μB/f.u.) = 0.412


Entry 3:
This record from Alexandria describes an optimized crystal structure of NaGeBPb2. The functional is GGA-PBE.

a b c (Å): 5.519 5.519 5.342
angles (deg): 90.00 90.00 90.00
Fractional positions:
Na 0.000 0.000 0.000
Ge 0.000 0.000 0.500
B 0.500 0.500 0.000
Pb 0.000 0.500 0.500
Pb 0.500 0.000 0.500

## Properties
- spin magnetization (μB/f.u.) = 0.000
- ΔE_f (eV/atom) = 1.249


Entry 4:
This record from Alexandria describes an optimized crystal structure of TlSnPb2Br. The functional is GGA-PBE.

a b c (Å): 4.355 4.358 9.101
angles (deg): 90.00 90.00 90.00
Fractional positions:
Tl 0.000 0.000 0.000
Sn 0.000 0.500 0.621
Pb 0.000 0.000 0.378
Pb 0.500 0.000 0.685
Br 0.500 0.500 0.140

## Properties
- ΔE_f (raw) (kJ/mol of atoms) = -16.19
- spin magnetization (μB/f.u.) = 0.000
- offset from the most stable computed form (eV per formula unit) = 0.26


Entry 5:
This record from Alexandria describes an optimized crystal structure of Na3OsSe. The functional is GGA-PBE.

a b c (Å): 5.583 5.583 5.583
angles (deg): 90.00 90.00 90.00
Fractional positions:
Na 0.000 0.000 0.500
Na 0.000 0.500 0.000
Na 0.500 0.000 0.000
Os 0.000 0.000 0.000
Se 0.500 0.500 0.500

## Properties
- ΔE_f (raw) (kJ/mol of atoms) = 99.43
- spin magnetization (μB/f.u.) = 3.000
- offset from the most stable computed form (eV per formula unit) = 1.77


Entry 6:
This record from Alexandria describes an optimized crystal structure of K3Zn2IrO6. The functional is GGA-PBE.

a b c (Å): 5.940 5.940 6.809
angles (deg): 90.00 90.00 120.00
Fractional positions:
K 0.000 0.000 0.000
K 0.333 0.667 0.772
K 0.667 0.333 0.228
Zn 0.333 0.667 0.348
Zn 0.667 0.333 0.652
Ir 0.000 0.000 0.500
O 0.152 0.305 0.317
O 0.152 0.848 0.317
O 0.305 0.152 0.683
O 0.695 0.848 0.317
O 0.848 0.152 0.683
O 0.848 0.695 0.683

## Properties
- ΔE_f (raw) (kJ/mol of atoms) = -107.54
- spin magnetization (μB/f.u.) = 2.039


Entry 7:
This record from Alexandria describes an optimized crystal structure of LaPr2SmTl4. The functional is GGA-PBE.

a b c (Å): 9.634 9.634 9.634
angles (deg): 33.52 33.52 33.52
Fractional positions:
La 0.000 0.000 0.000
Pr 0.250 0.250 0.250
Pr 0.750 0.750 0.750
Sm 0.500 0.500 0.500
Tl 0.126 0.126 0.126
Tl 0.376 0.376 0.376
Tl 0.624 0.624 0.624
Tl 0.874 0.874 0.874

## Properties
- spin magnetization (μB/f.u.) = 0.000
- ΔE_f (eV/atom) = -0.392


Entry 8:
This record from Alexandria describes an optimized crystal structure of TmMg2Te4. The functional is GGA-PBE.

a b c (Å): 7.245 7.245 14.301
angles (deg): 90.00 90.00 147.23
Fractional positions:
Tm 0.117 0.883 0.750
Tm 0.883 0.117 0.250
Mg 0.366 0.634 0.571
Mg 0.366 0.634 0.929
Mg 0.634 0.366 0.071
Mg 0.634 0.366 0.429
Te 0.000 0.000 0.000
Te 0.000 0.000 0.500
Te 0.285 0.715 0.118
Te 0.285 0.715 0.382
Te 0.456 0.544 0.750
Te 0.544 0.456 0.250
Te 0.715 0.285 0.618
Te 0.715 0.285 0.882

## Properties
- ΔE_f (raw) (kJ/mol of atoms) = -84.58
- spin magnetization (μB/f.u.) = 0.000


Entry 9:
This record from Alexandria describes an optimized crystal structure of Na2SrZrS4. The functional is GGA-PBE.

a b c (Å): 7.048 3.958 7.083
angles (deg): 90.00 108.92 90.00
Fractional positions:
Na 0.000 0.000 0.000
Na 0.000 0.500 0.500
Sr 0.500 0.000 0.500
Zr 0.500 0.500 0.000
S 0.272 0.500 0.218
S 0.279 0.000 0.785
S 0.721 0.000 0.215
S 0.728 0.500 0.782

## Properties
- ΔE_f (raw) (kJ/mol of atoms) = -150.90
- spin magnetization (μB/f.u.) = 0.000


Entry 10:
This record from Alexandria describes an optimized crystal structure of V2BW. The functional is GGA-PBE.

a b c (Å): 6.858 6.858 4.438
angles (deg): 90.00 90.00 90.00
Fractional positions:
V 0.165 0.250 0.125
V 0.250 0.665 0.375
V 0.250 0.835 0.875
V 0.335 0.250 0.625
V 0.665 0.750 0.625
V 0.750 0.165 0.875
V 0.750 0.335 0.375
V 0.835 0.750 0.125
B 0.000 0.000 0.000
B 0.000 0.500 0.250
B 0.500 0.000 0.750
B 0.500 0.500 0.500
W 0.000 0.000 0.500
W 0.000 0.500 0.750
W 0.500 0.000 0.250
W 0.500 0.500 0.000

## Properties
- spin magnetization (μB/f.u.) = 0.000
- ΔE_f (eV/atom) = 0.261


Entry 11:
This record from Alexandria describes an optimized crystal structure of ErCd5Ag4. The functional is GGA-PBE.

a b c (Å): 7.308 7.308 7.260
angles (deg): 90.79 90.79 36.24
Fractional positions:
Er 0.000 0.000 0.000
Cd 0.000 0.000 0.500
Cd 0.328 0.328 0.983
Cd 0.330 0.330 0.528
Cd 0.670 0.670 0.472
Cd 0.672 0.672 0.017
Ag 0.163 0.163 0.745
Ag 0.487 0.487 0.261
Ag 0.513 0.513 0.739
Ag 0.837 0.837 0.255

## Properties
- spin magnetization (μB/f.u.) = 0.000
- ΔE_f (eV/atom) = -0.053


Entry 12:
This record from Alexandria describes an optimized crystal structure of SrHgPb2. The functional is GGA-PBE.

a b c (Å): 6.746 11.528 3.722
angles (deg): 90.00 118.14 90.00
Fractional positions:
Sr 0.000 0.000 0.000
Sr 0.500 0.500 0.000
Hg 0.000 0.500 0.000
Hg 0.500 0.000 0.000
Pb 0.250 0.250 0.500
Pb 0.250 0.750 0.500
Pb 0.750 0.250 0.500
Pb 0.750 0.750 0.500

## Properties
- spin magnetization (μB/f.u.) = 0.000
- ΔE_f (eV/atom) = -0.228


What is the formula in the seventh record?
LaPr2SmTl4


Which of these has the highest spin magnetization?
Na3OsSe


What did the third record say?
This record from Alexandria describes an optimized crystal structure of NaGeBPb2. The functional is GGA-PBE.

a b c (Å): 5.519 5.519 5.342
angles (deg): 90.00 90.00 90.00
Fractional positions:
Na 0.000 0.000 0.000
Ge 0.000 0.000 0.500
B 0.500 0.500 0.000
Pb 0.000 0.500 0.500
Pb 0.500 0.000 0.500

## Properties
- spin magnetization (μB/f.u.) = 0.000
- ΔE_f (eV/atom) = 1.249


Look up the spin magnetization of the eleventh one.
0.000 μB/f.u.